1.
## MgV2RhS (PBE-GGA)

Data for crystalline MgV2RhS at its relaxed geometry.

Properties
raw formation energy = 0.17 eV/atom

a b c (Å): 4.2441 4.5725 4.2441
angles (deg): 90.00 90.00 90.00
Last column: nearest neighbours and their distance in Å.
Element x y z (fractional)
S 0.0000 0.0000 0.0000  4 V 2.12, 2 Mg 2.29
Rh 0.5000 0.5000 0.5000  4 Mg 3.00, 8 V 3.12
Mg 0.0000 0.5000 0.0000  2 S 2.29
V 0.0000 0.0000 0.5000  2 S 2.12
V 0.5000 0.0000 0.0000  2 S 2.12



2.
## TlRhW2 (PBE-GGA)

Data for crystalline TlRhW2 at its relaxed geometry.

Properties
formation enthalpy at 0 K = 0.92 eV per atom
energy above the lowest structure with this stoichiometry = 0.562 eV/atom

a b c (Å): 3.8037 3.8037 10.4498
angles (deg): 79.51 79.51 90.00
Last column: nearest neighbours and their distance in Å.
Element x y z (fractional)
Tl 0.0000 0.0000 0.0000  4 Rh 2.69, 4 W 2.86
Tl 0.7500 0.2500 0.5000  4 Rh 2.69, 4 W 2.86
Rh 0.5000 0.5000 0.0000  4 Tl 2.69, 4 W 2.86
Rh 0.2500 0.7500 0.5000  4 Tl 2.69, 4 W 2.86
W 0.6233 0.1250 0.2500  4 W 2.68-2.70, 2 Rh 2.86, 2 Tl 2.86
W 0.1267 0.6250 0.2500  4 W 2.68-2.70, 2 Rh 2.86, 2 Tl 2.86
W 0.3750 0.3767 0.7500  4 W 2.68-2.70, 2 Rh 2.86, 2 Tl 2.86
W 0.8750 0.8733 0.7500  4 W 2.68-2.70, 2 Rh 2.86, 2 Tl 2.86



3.
## KLu2Sc (PBE-GGA)

Data for crystalline KLu2Sc at its relaxed geometry.

Properties
formation enthalpy at 0 K = 0.29 eV per atom

a b c (Å): 3.4468 3.4468 12.9276
angles (deg): 82.34 82.34 60.00
Last column: nearest neighbours and their distance in Å.
Element x y z (fractional)
Sc 0.5000 0.5000 0.5000  6 Lu 3.28, 6 Sc 3.45
K 0.0000 0.0000 0.0000  6 K 3.45, 2 Lu 3.77
Lu 0.0985 0.0985 0.7046  3 Sc 3.28, 6 Lu 3.45
Lu 0.9015 0.9015 0.2954  3 Sc 3.28, 6 Lu 3.45



4.
## AgBiPd3Au (PBE-GGA)

Data for crystalline AgBiPd3Au at its relaxed geometry.

Properties
formation enthalpy at 0 K = -0.07 eV per atom

a b c (Å): 4.7865 9.4513 5.4266
angles (deg): 109.74 90.00 104.67
Last column: nearest neighbours and their distance in Å.
Element x y z (fractional)
Ag 0.3754 0.7507 0.0148  7 Pd 2.80-3.00, 2 Au 2.86, 2 Bi 2.93-3.08
Ag 0.6246 0.2493 0.9852  7 Pd 2.80-3.00, 2 Au 2.86, 2 Bi 2.93-3.08
Bi 0.6994 0.3987 0.5884  7 Pd 2.79-3.09, 2 Ag 2.93-3.08
Bi 0.3006 0.6013 0.4116  7 Pd 2.79-3.09, 2 Ag 2.93-3.08
Pd 0.7968 0.5936 0.1143  3 Bi 2.79-2.87, 1 Au 2.80, 3 Pd 2.91-2.95, 3 Ag 2.94-2.98
Pd 0.8761 0.7522 0.6809  2 Au 2.84-2.90, 4 Pd 2.86-3.17, 3 Bi 2.89-3.09, 2 Ag 3.00
Pd 0.5381 0.0761 0.3200  2 Au 2.76, 3 Pd 2.77-2.86, 2 Ag 2.80-2.86, 1 Bi 2.80
Pd 0.1239 0.2478 0.3191  2 Au 2.84-2.90, 4 Pd 2.86-3.17, 3 Bi 2.89-3.09, 2 Ag 3.00
Pd 0.4619 0.9239 0.6800  2 Au 2.76, 3 Pd 2.77-2.86, 2 Ag 2.80-2.86, 1 Bi 2.80
Pd 0.2032 0.4064 0.8857  3 Bi 2.79-2.87, 1 Au 2.80, 3 Pd 2.91-2.95, 3 Ag 2.94-2.98
Au 0.9583 0.9166 0.2324  5 Pd 2.76-2.90, 1 Au 2.77, 2 Ag 2.86
Au 0.0417 0.0834 0.7676  5 Pd 2.76-2.90, 1 Au 2.77, 2 Ag 2.86



5.
## Pm2Pr6Er3 (PBE-GGA)

Data for crystalline Pm2Pr6Er3 at its relaxed geometry.

Properties
formation enthalpy at 0 K = 0.02 eV per atom
energy above the lowest structure with this stoichiometry = 0.000 eV/atom

a b c (Å): 6.3098 8.1712 15.0234
angles (deg): 49.29 60.66 97.32
Last column: nearest neighbours and their distance in Å.
Element x y z (fractional)
Pm 0.6407 0.4591 0.0891  7 Pr 3.61-3.68, 3 Er 3.62-3.66, 2 Pm 3.63-3.66
Pm 0.3593 0.5409 0.9109  7 Pr 3.61-3.68, 3 Er 3.62-3.66, 2 Pm 3.63-3.66
Pr 0.0929 0.6373 0.7277  3 Pm 3.61-3.66, 6 Pr 3.64-3.68, 3 Er 3.64-3.67
Pr 0.7296 0.0924 0.8172  5 Pr 3.61-3.67, 5 Er 3.62-3.65, 2 Pm 3.64-3.68
Pr 0.9071 0.3627 0.2723  3 Pm 3.61-3.66, 6 Pr 3.64-3.68, 3 Er 3.64-3.67
Pr 0.2704 0.9076 0.1828  5 Pr 3.61-3.67, 5 Er 3.62-3.65, 2 Pm 3.64-3.68
Pr 0.8178 0.7223 0.5458  6 Pr 3.61-3.72, 4 Er 3.61-3.64, 2 Pm 3.66-3.68
Pr 0.1822 0.2777 0.4542  6 Pr 3.61-3.72, 4 Er 3.61-3.64, 2 Pm 3.66-3.68
Er 0.0000 0.0000 0.0000  2 Er 3.62, 8 Pr 3.64-3.65, 2 Pm 3.64
Er 0.5482 0.8185 0.3620  8 Pr 3.61-3.67, 2 Pm 3.62-3.66, 2 Er 3.62-3.64
Er 0.4518 0.1815 0.6380  8 Pr 3.61-3.67, 2 Pm 3.62-3.66, 2 Er 3.62-3.64



6.
## PmCdAsO (PBE-GGA)

Data for crystalline PmCdAsO at its relaxed geometry.

Properties
raw formation energy = -1.71 eV/atom

a b c (Å): 4.1840 4.1840 9.2652
angles (deg): 90.00 90.00 90.00
Last column: nearest neighbours and their distance in Å.
Element x y z (fractional)
Pm 0.5000 0.0000 0.6184  4 O 2.36
Pm 0.0000 0.5000 0.3816  4 O 2.36
Cd 0.5000 0.5000 0.0000  4 As 2.79, 4 Cd 2.96
Cd 0.0000 0.0000 0.0000  4 As 2.79, 4 Cd 2.96
As 0.0000 0.5000 0.8010  4 Cd 2.79
As 0.5000 0.0000 0.1990  4 Cd 2.79
O 0.0000 0.0000 0.5000  4 Pm 2.36
O 0.5000 0.5000 0.5000  4 Pm 2.36



7.
## Dy2Ho3In3 (PBE-GGA)

Data for crystalline Dy2Ho3In3 at its relaxed geometry.

Properties
formation enthalpy at 0 K = -0.35 eV per atom
energy above the lowest structure with this stoichiometry = 0.010 eV/atom

a b c (Å): 4.8939 4.8950 9.1297
angles (deg): 90.00 90.00 90.00
Last column: nearest neighbours and their distance in Å.
Element x y z (fractional)
Dy 0.0000 0.0000 0.7378  6 In 3.27-3.42, 6 Ho 3.42-3.46
Dy 0.0000 0.0000 0.2622  6 In 3.27-3.42, 6 Ho 3.42-3.46
Ho 0.5000 0.5000 0.7363  6 In 3.26-3.43, 2 Ho 3.43, 4 Dy 3.46
Ho 0.5000 0.5000 0.2637  6 In 3.26-3.43, 2 Ho 3.43, 4 Dy 3.46
Ho 0.5000 0.0000 0.0000  4 Dy 3.42, 4 Ho 3.43, 4 In 3.46
In 0.5000 0.0000 0.5000  4 Ho 3.26, 4 Dy 3.27, 4 In 3.46
In 0.0000 0.5000 0.0000  4 Dy 3.42, 8 Ho 3.43-3.46
In 0.0000 0.5000 0.5000  4 Ho 3.26, 4 Dy 3.27, 4 In 3.46



8.
## Ho3Mg2Sc7 (PBE-GGA)

Data for crystalline Ho3Mg2Sc7 at its relaxed geometry.

Properties
formation enthalpy at 0 K = 0.09 eV per atom

a b c (Å): 3.3299 5.3959 18.0834
angles (deg): 103.74 90.00 90.00
Last column: nearest neighbours and their distance in Å.
Element x y z (fractional)
Ho 0.5000 0.5000 0.0000  10 Sc 3.17-3.44, 2 Ho 3.33
Ho 0.0000 0.1460 0.3696  2 Ho 3.33, 6 Sc 3.40-3.56, 4 Mg 3.46-3.47
Ho 0.0000 0.8540 0.6304  2 Ho 3.33, 6 Sc 3.40-3.56, 4 Mg 3.46-3.47
Mg 0.5000 0.5845 0.2906  3 Sc 3.00-3.05, 2 Mg 3.33
Mg 0.5000 0.4155 0.7094  3 Sc 3.00-3.05, 2 Mg 3.33
Sc 0.5000 0.7198 0.4615  1 Mg 3.00, 4 Sc 3.01-3.33
Sc 0.5000 0.2802 0.5385  1 Mg 3.00, 4 Sc 3.01-3.33
Sc 0.0000 0.4532 0.1455  2 Mg 3.05, 7 Sc 3.14-3.33, 2 Ho 3.17
Sc 0.0000 0.0000 0.0000  8 Sc 3.14-3.46, 4 Ho 3.17
Sc 0.0000 0.5468 0.8545  2 Mg 3.05, 7 Sc 3.14-3.33, 2 Ho 3.17
Sc 0.5000 0.0274 0.8344  8 Sc 3.17-3.46, 2 Mg 3.43-3.53, 1 Ho 3.44
Sc 0.5000 0.9726 0.1656  8 Sc 3.17-3.46, 2 Mg 3.43-3.53, 1 Ho 3.44



| no. | DFT total energy (eV/atom) |
| --- | --- |
| 1 | -6.09 |
| 2 | -7.99 |
| 3 | -3.83 |
| 4 | -4.34 |
| 5 | -4.70 |
| 6 | -5.53 |
| 7 | -4.24 |
| 8 | -5.01 |